Entry 1:
# LuScSn2

A relaxed structure of LuScSn2 (PBE-GGA, Alexandria via LeMat-Bulk).

## Properties
- uncorrected energy (eV per cell) = -20.96
- DFT formation energy (kcal/mol of atoms) = -12.1
- energy relative to the lowest polymorph listed for this composition (eV per formula unit) = 0.000
- D(E_F) (states/eV/f.u.) = 4.11

a b c (Å): 4.7223 4.7223 4.3076
angles (deg): 90.00 90.00 90.00
Last column: nearest neighbours and their distance in Å.
Fractional positions:
Lu1 0.0000 0.0000 0.0000  8 Sn 3.20, 4 Sc 3.34
Sc1 0.5000 0.5000 0.0000  8 Sn 3.20, 4 Lu 3.34
Sn1 0.0000 0.5000 0.5000  4 Sc 3.20, 4 Lu 3.20, 4 Sn 3.34
Sn2 0.5000 0.0000 0.5000  4 Sc 3.20, 4 Lu 3.20, 4 Sn 3.34


Entry 2:
# Cs2Mg3Pb5

A relaxed structure of Cs2Mg3Pb5 (PBE-GGA, Alexandria via LeMat-Bulk).

## Properties
- uncorrected energy (eV per cell) = -52.18
- DFT formation energy (kcal/mol of atoms) = -2.4
- D(E_F) (states/eV/f.u.) = 4.61

a b c (Å): 10.4806 10.4806 10.4806
angles (deg): 102.22 91.90 139.04
Last column: nearest neighbours and their distance in Å.
Fractional positions:
Cs1 0.1298 0.2436 0.3734  10 Pb 3.87-4.18, 6 Mg 3.98-4.28
Cs2 0.3702 0.7436 0.1138  10 Pb 3.87-4.18, 6 Mg 3.98-4.28
Cs3 0.6298 0.2564 0.8862  10 Pb 3.87-4.18, 6 Mg 3.98-4.28
Cs4 0.8702 0.7564 0.6266  10 Pb 3.87-4.18, 6 Mg 3.98-4.28
Mg1 0.1234 0.8731 0.9966  5 Pb 3.06-3.15
Mg2 0.2500 0.7500 0.5000  4 Pb 3.08
Mg3 0.3766 0.3731 0.7497  5 Pb 3.06-3.15
Mg4 0.6234 0.6269 0.2503  5 Pb 3.06-3.15
Mg5 0.7500 0.2500 0.5000  4 Pb 3.08
Mg6 0.8766 0.1269 0.0034  5 Pb 3.06-3.15
Pb1 0.0069 0.7500 0.2569  2 Mg 3.15, 2 Pb 3.21
Pb2 0.1139 0.6399 0.7538  3 Mg 3.07-3.08, 2 Pb 3.21
Pb3 0.2500 0.2500 0.0000  4 Mg 3.06
Pb4 0.3861 0.1399 0.5259  3 Mg 3.07-3.08, 2 Pb 3.21
Pb5 0.4931 0.7500 0.7431  2 Mg 3.15, 2 Pb 3.21
Pb6 0.5069 0.2500 0.2569  2 Mg 3.15, 2 Pb 3.21
Pb7 0.6139 0.8601 0.4741  3 Mg 3.07-3.08, 2 Pb 3.21
Pb8 0.7500 0.7500 0.0000  4 Mg 3.06
Pb9 0.8861 0.3601 0.2462  3 Mg 3.07-3.08, 2 Pb 3.21
Pb10 0.9931 0.2500 0.7431  2 Mg 3.15, 2 Pb 3.21


Entry 3:
# ScUP2

A relaxed structure of ScUP2 (PBE-GGA, Alexandria via LeMat-Bulk).

## Properties
- uncorrected energy (eV per cell) = -100.18
- DFT formation energy (kcal/mol of atoms) = -28.6
- energy relative to the lowest polymorph listed for this composition (eV per formula unit) = 0.000
- D(E_F) (states/eV/f.u.) = 4.65

a b c (Å): 3.8400 3.8400 18.9762
angles (deg): 90.00 90.00 120.00
Last column: nearest neighbours and their distance in Å.
Fractional positions:
Sc1 0.0000 0.0000 0.0000  6 P 2.68
Sc2 0.3333 0.6667 0.6667  6 P 2.68
Sc3 0.6667 0.3333 0.3333  6 P 2.68
U1 0.0000 0.0000 0.5000  6 P 2.77
U2 0.3333 0.6667 0.1667  6 P 2.77
U3 0.6667 0.3333 0.8333  6 P 2.77
P1 0.0000 0.0000 0.2539  3 Sc 2.68, 3 U 2.77
P2 0.0000 0.0000 0.7461  3 Sc 2.68, 3 U 2.77
P3 0.3333 0.6667 0.4128  3 Sc 2.68, 3 U 2.77
P4 0.3333 0.6667 0.9205  3 Sc 2.68, 3 U 2.77
P5 0.6667 0.3333 0.0795  3 Sc 2.68, 3 U 2.77
P6 0.6667 0.3333 0.5872  3 Sc 2.68, 3 U 2.77


Entry 4:
# TbNd3In3

A relaxed structure of TbNd3In3 (PBE-GGA, Alexandria via LeMat-Bulk).

## Properties
- uncorrected energy (eV per cell) = -58.70
- DFT formation energy (kcal/mol of atoms) = -7.3
- energy relative to the lowest polymorph listed for this composition (eV per formula unit) = 0.137
- D(E_F) (states/eV/f.u.) = 6.50

a b c (Å): 9.6092 9.6092 5.2443
angles (deg): 90.00 90.00 120.00
Last column: nearest neighbours and their distance in Å.
Fractional positions:
Tb1 0.3333 0.6667 0.2500  9 In 3.46-3.48, 3 Nd 3.73
Tb2 0.6667 0.3333 0.7500  9 In 3.46-3.48, 3 Nd 3.73
Nd1 0.0015 0.7623 0.2500  4 In 3.22-3.32, 4 Nd 3.48
Nd2 0.2377 0.2392 0.2500  4 In 3.22-3.32, 4 Nd 3.48
Nd3 0.2392 0.0015 0.7500  4 In 3.22-3.32, 4 Nd 3.48
Nd4 0.7608 0.9985 0.2500  4 In 3.22-3.32, 4 Nd 3.48
Nd5 0.7623 0.7608 0.7500  4 In 3.22-3.32, 4 Nd 3.48
Nd6 0.9985 0.2377 0.7500  4 In 3.22-3.32, 4 Nd 3.48
In1 0.0727 0.6138 0.7500  4 Nd 3.22-3.32, 2 In 3.25, 3 Tb 3.46-3.48
In2 0.3862 0.4590 0.7500  4 Nd 3.22-3.32, 2 In 3.25, 3 Tb 3.46-3.48
In3 0.4590 0.0727 0.2500  4 Nd 3.22-3.32, 2 In 3.25, 3 Tb 3.46-3.48
In4 0.5410 0.9273 0.7500  4 Nd 3.22-3.32, 2 In 3.25, 3 Tb 3.46-3.48
In5 0.6138 0.5410 0.2500  4 Nd 3.22-3.32, 2 In 3.25, 3 Tb 3.46-3.48
In6 0.9273 0.3862 0.2500  4 Nd 3.22-3.32, 2 In 3.25, 3 Tb 3.46-3.48


Entry 5:
# Cd7SnHg6

A relaxed structure of Cd7SnHg6 (PBE-GGA, Alexandria via LeMat-Bulk).

## Properties
- uncorrected energy (eV per cell) = -22.98
- DFT formation energy (kcal/mol of atoms) = 1.2
- D(E_F) (states/eV/f.u.) = 4.70

a b c (Å): 11.9387 11.9387 11.9387
angles (deg): 149.42 66.23 122.84
Last column: nearest neighbours and their distance in Å.
Fractional positions:
Cd1 0.0121 0.2582 0.2703  3 Hg 2.94-3.13, 2 Cd 3.08-3.29, 2 Sn 3.25
Cd2 0.1041 0.4708 0.8305  4 Cd 2.92-3.23, 4 Hg 2.99-3.15
Cd3 0.1403 0.9708 0.3667  4 Cd 2.92-3.23, 4 Hg 2.99-3.15
Cd4 0.2500 0.2500 0.0000  4 Hg 3.11, 2 Sn 3.15, 4 Cd 3.30
Cd5 0.3597 0.7264 0.8305  4 Cd 2.92-3.23, 4 Hg 2.99-3.15
Cd6 0.3959 0.2264 0.3667  4 Cd 2.92-3.23, 4 Hg 2.99-3.15
Cd7 0.4879 0.7582 0.2461  3 Hg 2.94-3.13, 2 Cd 3.08-3.29, 2 Sn 3.25
Cd8 0.5121 0.2418 0.7539  3 Hg 2.94-3.13, 2 Cd 3.08-3.29, 2 Sn 3.25
Cd9 0.6041 0.7736 0.6333  4 Cd 2.92-3.23, 4 Hg 2.99-3.15
Cd10 0.6403 0.2736 0.1695  4 Cd 2.92-3.23, 4 Hg 2.99-3.15
Cd11 0.7500 0.7500 0.0000  4 Hg 3.11, 2 Sn 3.15, 4 Cd 3.30
Cd12 0.8597 0.0292 0.6333  4 Cd 2.92-3.23, 4 Hg 2.99-3.15
Cd13 0.8959 0.5292 0.1695  4 Cd 2.92-3.23, 4 Hg 2.99-3.15
Cd14 0.9879 0.7418 0.7297  3 Hg 2.94-3.13, 2 Cd 3.08-3.29, 2 Sn 3.25
Sn1 0.2500 0.7500 0.5000  4 Hg 3.14, 6 Cd 3.15-3.25
Sn2 0.7500 0.2500 0.5000  4 Hg 3.14, 6 Cd 3.15-3.25
Hg1 0.0532 0.9371 0.6256  5 Cd 2.99-3.15, 1 Sn 3.14, 1 Hg 3.16
Hg2 0.1293 0.8687 0.9980  3 Cd 2.94-3.04, 2 Hg 3.16
Hg3 0.1885 0.5629 0.1161  5 Cd 2.99-3.15, 1 Sn 3.14, 1 Hg 3.16
Hg4 0.3115 0.4276 0.3744  5 Cd 2.99-3.15, 1 Sn 3.14, 1 Hg 3.16
Hg5 0.3707 0.3687 0.7394  3 Cd 2.94-3.04, 2 Hg 3.16
Hg6 0.4468 0.0724 0.8839  5 Cd 2.99-3.15, 1 Sn 3.14, 1 Hg 3.16
Hg7 0.5532 0.9276 0.1161  5 Cd 2.99-3.15, 1 Sn 3.14, 1 Hg 3.16
Hg8 0.6293 0.6313 0.2606  3 Cd 2.94-3.04, 2 Hg 3.16
Hg9 0.6885 0.5724 0.6256  5 Cd 2.99-3.15, 1 Sn 3.14, 1 Hg 3.16
Hg10 0.8115 0.4371 0.8839  5 Cd 2.99-3.15, 1 Sn 3.14, 1 Hg 3.16
Hg11 0.8707 0.1313 0.0020  3 Cd 2.94-3.04, 2 Hg 3.16
Hg12 0.9468 0.0629 0.3744  5 Cd 2.99-3.15, 1 Sn 3.14, 1 Hg 3.16


Entry 6:
# PmPaAgAu

A relaxed structure of PmPaAgAu (PBE-GGA, Alexandria via LeMat-Bulk).

## Properties
- uncorrected energy (eV per cell) = -83.52
- DFT formation energy (kcal/mol of atoms) = -2.9
- D(E_F) (states/eV/f.u.) = 7.17

a b c (Å): 7.3229 7.3229 7.3229
angles (deg): 90.00 90.00 90.00
Last column: nearest neighbours and their distance in Å.
Fractional positions:
Pm1 0.0000 0.0000 0.0000  4 Au 3.17, 4 Ag 3.17
Pm2 0.0000 0.5000 0.5000  4 Ag 3.17, 4 Au 3.17
Pm3 0.5000 0.0000 0.5000  4 Ag 3.17, 4 Au 3.17
Pm4 0.5000 0.5000 0.0000  4 Ag 3.17, 4 Au 3.17
Pa1 0.0000 0.0000 0.5000  4 Ag 3.17, 4 Au 3.17
Pa2 0.0000 0.5000 0.0000  4 Ag 3.17, 4 Au 3.17
Pa3 0.5000 0.0000 0.0000  4 Ag 3.17, 4 Au 3.17
Pa4 0.5000 0.5000 0.5000  4 Ag 3.17, 4 Au 3.17
Ag1 0.2500 0.2500 0.7500  4 Pa 3.17, 4 Pm 3.17
Ag2 0.2500 0.7500 0.2500  4 Pa 3.17, 4 Pm 3.17
Ag3 0.7500 0.2500 0.2500  4 Pa 3.17, 4 Pm 3.17
Ag4 0.7500 0.7500 0.7500  4 Pa 3.17, 4 Pm 3.17
Au1 0.2500 0.2500 0.2500  4 Pa 3.17, 4 Pm 3.17
Au2 0.2500 0.7500 0.7500  4 Pa 3.17, 4 Pm 3.17
Au3 0.7500 0.2500 0.7500  4 Pa 3.17, 4 Pm 3.17
Au4 0.7500 0.7500 0.2500  4 Pa 3.17, 4 Pm 3.17


Entry 7:
# Sc3Ge

A relaxed structure of Sc3Ge (PBE-GGA, Alexandria via LeMat-Bulk).

## Properties
- uncorrected energy (eV per cell) = -50.39
- DFT formation energy (kcal/mol of atoms) = -9.1
- energy relative to the lowest polymorph listed for this composition (eV per formula unit) = 0.489
- D(E_F) (states/eV/f.u.) = 4.35

a b c (Å): 4.1744 4.1744 9.5694
angles (deg): 90.00 90.00 90.00
Last column: nearest neighbours and their distance in Å.
Fractional positions:
Sc1 0.0000 0.0000 0.0000  4 Ge 2.95, 8 Sc 3.17
Sc2 0.0000 0.5000 0.2500  8 Sc 2.95-3.17, 4 Ge 3.17
Sc3 0.0000 0.5000 0.7500  8 Sc 2.95-3.17, 4 Ge 3.17
Sc4 0.5000 0.0000 0.2500  8 Sc 2.95-3.17, 4 Ge 3.17
Sc5 0.5000 0.0000 0.7500  8 Sc 2.95-3.17, 4 Ge 3.17
Sc6 0.5000 0.5000 0.5000  4 Ge 2.95, 8 Sc 3.17
Ge1 0.0000 0.0000 0.5000  12 Sc 2.95-3.17
Ge2 0.5000 0.5000 0.0000  12 Sc 2.95-3.17


Entry 8:
# Rb2CaAuS

A relaxed structure of Rb2CaAuS (PBE-GGA, Alexandria via LeMat-Bulk).

## Properties
- E_form (uncorrected) (meV/atom) = 234.7
- uncorrected energy (eV per cell) = -10.17
- D(E_F) (states/eV/f.u.) = 1.83

a b c (Å): 6.9508 6.9508 5.3271
angles (deg): 90.00 90.00 90.00
Last column: nearest neighbours and their distance in Å.
Fractional positions:
Rb1 0.0000 0.5000 0.0000  2 Ca 3.48
Rb2 0.5000 0.0000 0.0000  2 Ca 3.48
Ca1 0.0000 0.0000 0.0000  2 Au 2.66
Au1 0.0000 0.0000 0.5000  2 Ca 2.66
S1 0.5000 0.5000 0.5000  8 Rb 4.38


Entry 9:
# H4Pd8Pb

A relaxed structure of H4Pd8Pb (PBE-GGA, Alexandria via LeMat-Bulk).

## Properties
- uncorrected energy (eV per cell) = -57.85
- energy relative to the lowest polymorph listed for this composition (eV per formula unit) = 2.844
- D(E_F) (states/eV/f.u.) = 7.42

a b c (Å): 7.5033 7.5033 7.5033
angles (deg): 44.31 44.31 44.31
Last column: nearest neighbours and their distance in Å.
Fractional positions:
H1 0.0000 0.0000 0.0000  6 Pd 2.01
H2 0.0000 0.5000 0.5000  6 Pd 2.02-2.07
H3 0.5000 0.0000 0.5000  6 Pd 2.02-2.07
H4 0.5000 0.5000 0.0000  6 Pd 2.02-2.07
Pd1 0.2241 0.2241 0.7263  3 H 2.01-2.02
Pd2 0.2241 0.7263 0.2241  3 H 2.01-2.02
Pd3 0.2704 0.2704 0.2704  3 H 2.07
Pd4 0.2737 0.7759 0.7759  3 H 2.01-2.02
Pd5 0.7263 0.2241 0.2241  3 H 2.01-2.02
Pd6 0.7296 0.7296 0.7296  3 H 2.07
Pd7 0.7759 0.2737 0.7759  3 H 2.01-2.02
Pd8 0.7759 0.7759 0.2737  3 H 2.01-2.02
Pb1 0.5000 0.5000 0.5000  6 Pd 2.74


Entry 10:
# Cr3MoH

A relaxed structure of Cr3MoH (PBE-GGA, Alexandria via LeMat-Bulk).

## Properties
- uncorrected energy (eV per cell) = -41.84
- energy relative to the lowest polymorph listed for this composition (eV per formula unit) = 0.000
- D(E_F) (states/eV/f.u.) = 6.44

a b c (Å): 3.7693 3.7693 3.7693
angles (deg): 90.00 90.00 90.00
Last column: nearest neighbours and their distance in Å.
Fractional positions:
Cr1 0.0000 0.0000 0.5000  2 H 1.88
Cr2 0.0000 0.5000 0.0000  2 H 1.88
Cr3 0.5000 0.0000 0.0000  2 H 1.88
Mo1 0.5000 0.5000 0.5000  12 Cr 2.67
H1 0.0000 0.0000 0.0000  6 Cr 1.88


Entry 11:
# Nd3HoIr3

A relaxed structure of Nd3HoIr3 (PBE-GGA, Alexandria via LeMat-Bulk).

## Properties
- uncorrected energy (eV per cell) = -98.78
- DFT formation energy (kcal/mol of atoms) = -12.9
- D(E_F) (states/eV/f.u.) = 3.87

a b c (Å): 7.2778 7.2778 6.8233
angles (deg): 98.52 98.52 83.35
Last column: nearest neighbours and their distance in Å.
Fractional positions:
Nd1 0.1913 0.8087 0.0000  4 Ir 2.84-3.01
Nd2 0.2768 0.7232 0.5000  4 Ir 2.88-3.04
Nd3 0.2979 0.2979 0.9936  5 Ir 2.95-3.12
Nd4 0.7021 0.7021 0.0064  5 Ir 2.95-3.12
Nd5 0.7232 0.2768 0.5000  4 Ir 2.88-3.04
Nd6 0.8087 0.1913 0.0000  4 Ir 2.84-3.01
Ho1 0.2135 0.2135 0.4520  4 Ir 2.72-2.89
Ho2 0.7865 0.7865 0.5480  4 Ir 2.72-2.89
Ir1 0.0019 0.5032 0.2575  2 Ho 2.84-3.10, 4 Nd 2.88-3.12
Ir2 0.0532 0.0532 0.7118  2 Ho 2.72-2.89, 5 Nd 2.84-3.04, 1 Ir 2.89
Ir3 0.4968 0.9981 0.7425  2 Ho 2.84-3.10, 4 Nd 2.88-3.12
Ir4 0.5032 0.0019 0.2575  2 Ho 2.84-3.10, 4 Nd 2.88-3.12
Ir5 0.9468 0.9468 0.2882  2 Ho 2.72-2.89, 5 Nd 2.84-3.04, 1 Ir 2.89
Ir6 0.9981 0.4968 0.7425  2 Ho 2.84-3.10, 4 Nd 2.88-3.12


Entry 12:
# Ba5Si4

A relaxed structure of Ba5Si4 (PBE-GGA, Alexandria via LeMat-Bulk).

## Properties
- E_form (uncorrected) (meV/atom) = -359.4
- uncorrected energy (eV per cell) = -34.54
- D(E_F) (states/eV/f.u.) = 3.04

a b c (Å): 6.5688 6.5688 10.9261
angles (deg): 111.58 111.58 45.42
Last column: nearest neighbours and their distance in Å.
Fractional positions:
Ba1 0.0000 0.0000 0.0000  4 Si 3.46
Ba2 0.1086 0.1086 0.4030  7 Si 3.45-3.70
Ba3 0.2427 0.2427 0.8226  6 Si 3.43-3.79
Ba4 0.7573 0.7573 0.1774  6 Si 3.43-3.79
Ba5 0.8914 0.8914 0.5970  7 Si 3.45-3.70
Si1 0.4096 0.4096 0.3916  2 Si 2.47-2.50
Si2 0.4518 0.4518 0.1886  1 Si 2.47
Si3 0.5482 0.5482 0.8114  1 Si 2.47
Si4 0.5904 0.5904 0.6084  2 Si 2.47-2.50